SCAN Sc2CoCl2, single point on PBEsol structure; ρ = 4.20 Mg/m³; size of the total moment = 0.00 μB/cell; E_form (uncorrected) = -648 meV/atom
1.0
4.9620 0.0059 0.0084
-2.4560 4.3115 -0.0084
-2.4560 -1.4605 4.0567
Sc Co Cl
2 1 2
Direct
0.5000 0.7500 0.2500
0.5000 0.2500 0.7500
0.0000 0.0000 0.0000
0.0000 0.2968 0.2968
0.0000 0.7032 0.7032

=====

SCAN ScCoCl2, single point on PBEsol structure; ρ = 4.27 Mg/m³; size of the total moment = 0.01 μB/cell; E_form (uncorrected) = -582 meV/atom
1.0
-1.0823 3.8373 -1.7949
-4.2271 -1.1006 0.1957
2.1990 1.5338 7.2787
Sc Co Cl
2 2 4
Direct
0.7500 0.2500 0.5000
0.5000 0.5000 0.0000
0.2500 0.7500 0.5000
0.0000 0.0000 0.0000
0.3425 0.8750 0.2500
0.9075 0.3750 0.2500
0.1250 0.0925 0.7500
0.6250 0.6575 0.7500

=====

SCAN ScCo2Cl, single point on PBEsol structure; ρ = 4.95 Mg/m³; size of the total moment = 2.93 μB/cell; E_form (uncorrected) = -338 meV/atom
1.0
3.0823 0.0000 0.0000
0.0000 3.0823 0.0000
0.0000 0.0000 7.0003
Sc Co Cl
1 2 1
Direct
0.0000 0.0000 0.4715
0.0000 0.0000 0.1156
0.5000 0.5000 0.2236
0.5000 0.5000 0.6894

=====

SCAN ScCoCl2, single point on PBEsol structure; ρ = 4.17 Mg/m³; size of the total moment = 1.53 μB/cell; E_form (uncorrected) = -743 meV/atom
1.0
-1.4349 1.9221 -2.1420
-3.1215 0.7074 0.3118
0.3181 7.0734 3.7202
Sc Co Cl
1 1 2
Direct
0.5000 0.5000 0.5000
0.0000 0.0000 0.0000
0.9077 0.9077 0.2770
0.0923 0.0923 0.7230

=====

SCAN ScCoTeCl2, single point on PBEsol structure; ρ = 4.92 Mg/m³; size of the total moment = 0.93 μB/cell; E_form (uncorrected) = -618 meV/atom
1.0
4.4207 0.0000 0.0000
0.0000 4.4207 0.0000
0.0000 0.0000 5.2183
Sc Te Co Cl
1 1 1 2
Direct
0.5000 0.5000 0.5000
0.0000 0.0000 0.5000
0.0000 0.0000 0.0000
0.0000 0.5000 0.0000
0.5000 0.0000 0.0000

=====

SCAN Co2SeCl, single point on PBEsol structure; ρ = 7.48 Mg/m³; size of the total moment = 0.77 μB/cell; E_form (uncorrected) = 690 meV/atom
1.0
-2.8094 3.0715 -0.3517
-1.5429 1.0000 -3.7510
-3.9717 -0.8988 -0.9321
Co Se Cl
2 1 1
Direct
0.2500 0.2500 0.2500
0.7500 0.7500 0.7500
0.0000 0.0000 0.0000
0.5000 0.5000 0.5000

=====

SCAN CoSiCl2, single point on PBEsol structure; ρ = 3.75 Mg/m³; size of the total moment = 1.96 μB/cell; E_form (uncorrected) = -24 meV/atom
1.0
-0.4493 -3.0309 -0.2410
0.8451 -0.4559 4.1584
-5.3655 2.4200 -0.8343
Cl Co Si
2 1 1
Direct
0.9730 0.9730 0.9460
0.1828 0.6828 0.3656
0.5025 0.5025 0.0051
0.8417 0.3417 0.6834

=====

SCAN CoSiCl2, single point on PBEsol structure; ρ = 3.87 Mg/m³; size of the total moment = 1.20 μB/cell; E_form (uncorrected) = 395 meV/atom
1.0
-2.9312 -0.3592 1.9798
0.1975 -3.5327 -0.3485
4.3854 1.6786 3.6050
Cl Co Si
2 1 1
Direct
0.0000 0.0000 0.0000
0.7500 0.2500 0.5000
0.5000 0.5000 0.0000
0.2500 0.7500 0.5000